(1)
5
Lattice="-1.7490 -4.0197 0.0511 3.0569 -1.3660 -2.8300 2.7228 -1.1403 3.4915" Properties=species:S:1:pos:R:3 comment="ScTi2InB PBE-GGA optimized geometry" formation_enthalpy_0k_ev_per_atom=-0.38 spacegroup="P4/mmm, No. 123" pbc="T T T"
Sc 1.3614 -0.5701 1.7457
B 0.0000 0.0000 0.0000
Ti 1.5284 -0.6830 -1.4150
Ti -0.8745 -2.0099 0.0256
In 2.0153 -3.2630 0.3563

(2)
5
Lattice="-1.7851 4.0418 1.3821 -4.1468 -1.9992 0.4906 0.9809 -1.0035 4.2017" Properties=species:S:1:pos:R:3 comment="Sc2TiInB PBE-GGA optimized geometry" formation_enthalpy_0k_ev_per_atom=-0.39 spacegroup="P4/mmm, No. 123" pbc="T T T"
Sc -2.0734 -0.9996 0.2453
Sc -0.8926 2.0209 0.6910
B 0.0000 0.0000 0.0000
Ti 0.4905 -0.5018 2.1009
In -2.4755 0.5195 3.0372

(3)
5
Lattice="5.4957 0.0000 0.0000 0.0000 4.7125 0.0000 0.0000 0.0000 5.4957" Properties=species:S:1:pos:R:3 comment="ScIn2BW PBE-GGA optimized geometry" formation_enthalpy_0k_ev_per_atom=2.20 spacegroup="P4/mmm, No. 123" pbc="T T T"
Sc 0.0000 0.0000 0.0000
B 2.7478 2.3562 2.7478
W 0.0000 2.3562 0.0000
In 0.0000 0.0000 2.7478
In 2.7478 0.0000 0.0000

(4)
5
Lattice="4.7263 0.0000 0.0000 0.0000 4.7263 0.0000 0.0000 0.0000 5.0181" Properties=species:S:1:pos:R:3 comment="YSc2InB PBE-GGA optimized geometry" formation_enthalpy_0k_ev_per_atom=-0.35 spacegroup="P4/mmm, No. 123" pbc="T T T"
Y 0.0000 0.0000 2.5090
Sc 0.0000 2.3631 0.0000
Sc 2.3631 0.0000 0.0000
B 0.0000 0.0000 0.0000
In 2.3631 2.3631 2.5090

(5)
5
Lattice="-3.5727 2.2266 1.3105 -3.1122 -3.4243 -2.6665 -0.2715 -2.5475 3.5883" Properties=species:S:1:pos:R:3 comment="ZrScInB2 PBE-GGA optimized geometry" formation_enthalpy_0k_ev_per_atom=1.63 spacegroup="P4/mmm, No. 123" pbc="T T T"
Sc -3.4782 -1.8726 1.1161
B -0.1357 -1.2737 1.7941
B -1.7863 1.1133 0.6552
Zr -1.5561 -1.7121 -1.3333
In 0.0000 0.0000 0.0000

(6)
5
Lattice="4.6847 0.0000 0.0000 0.0000 4.6847 0.0000 0.0000 0.0000 4.6388" Properties=species:S:1:pos:R:3 comment="Zr2ScInB PBE-GGA optimized geometry" formation_enthalpy_0k_ev_per_atom=-0.43 spacegroup="P4/mmm, No. 123" pbc="T T T"
Sc 0.0000 0.0000 2.3194
B 0.0000 0.0000 0.0000
Zr 0.0000 2.3424 0.0000
Zr 2.3424 0.0000 0.0000
In 2.3424 2.3424 2.3194

(7)
5
Lattice="-2.2775 -2.5516 3.1521 -2.7228 -1.7170 -3.3573 3.0402 -3.5296 -0.6606" Properties=species:S:1:pos:R:3 comment="ZrSc2InB PBE-GGA optimized geometry" formation_enthalpy_0k_ev_per_atom=-0.43 spacegroup="P4/mmm, No. 123" pbc="T T T"
Sc -1.3614 -0.8585 -1.6786
Sc -1.1387 -1.2758 1.5760
B 0.0000 0.0000 0.0000
Zr 1.5201 -1.7648 -0.3303
In -0.9800 -3.8991 -0.4329

(8)
5
Lattice="4.5299 0.0000 0.0000 0.0000 4.5299 0.0000 0.0000 0.0000 4.5299" Properties=species:S:1:pos:R:3 comment="InB3Se PBE-GGA optimized geometry" formation_energy_uncorrected_ev_per_atom=2.1742 spacegroup="Pm-3m, No. 221" pbc="T T T"
B 0.0000 2.2650 0.0000
B 0.0000 0.0000 2.2650
B 2.2650 0.0000 0.0000
Se 2.2650 2.2650 2.2650
In 0.0000 0.0000 0.0000

no.,density (g/cm3),energy (eV per atom)
1,5.03,-6.69
2,4.61,-6.38
3,5.47,-4.09
4,4.51,-6.06
5,4.36,-4.56
6,5.76,-7.00
7,5.00,-6.56
8,4.04,-3.08